No. 1
The following is a PBE calculation of a relaxed structure of Ga2SnTe4, from the Alexandria database.

abc: 6.0376 6.0376 7.2996
angles: 90.00 90.00 90.00
With the nearest neighbours (Å) after each atom.
Sites, in units of the cell vectors:
Ga 0.0000 0.5000 0.0000  4 Te 2.69
Ga 0.5000 0.0000 0.0000  4 Te 2.69
Sn 0.0000 0.0000 0.5000  4 Te 3.10
Te 0.2742 0.2742 0.7777  2 Ga 2.69
Te 0.2742 0.7258 0.2223  2 Ga 2.69
Te 0.7258 0.2742 0.2223  2 Ga 2.69
Te 0.7258 0.7258 0.7777  2 Ga 2.69

Summary:
**Excess energy over the best structure of this formula in the dataset**: 78 meV per atom
**SG**: P-42m, No. 111

=====

No. 2
The following is a PBE calculation of a relaxed structure of Ga2SnTe2, from the Alexandria database.

abc: 8.1090 8.1090 4.0447
angles: 90.00 90.00 90.00
With the nearest neighbours (Å) after each atom.
Sites, in units of the cell vectors:
Ga 0.1136 0.3864 0.0000  1 Ga 2.61, 2 Te 2.82
Ga 0.3864 0.8864 0.0000  1 Ga 2.61, 2 Te 2.82
Ga 0.6136 0.1136 0.0000  1 Ga 2.61, 2 Te 2.82
Ga 0.8864 0.6136 0.0000  1 Ga 2.61, 2 Te 2.82
Sn 0.0000 0.0000 0.0000  4 Ga 3.27, 8 Te 3.53
Sn 0.5000 0.5000 0.0000  4 Ga 3.27, 8 Te 3.53
Te 0.2148 0.7148 0.5000  2 Ga 2.82
Te 0.2852 0.2148 0.5000  2 Ga 2.82
Te 0.7148 0.7852 0.5000  2 Ga 2.82
Te 0.7852 0.2852 0.5000  2 Ga 2.82

Summary:
**Excess energy over the best structure of this formula in the dataset**: 15 meV per atom
**SG**: P4/mbm, No. 127

=====

No. 3
The following is a PBE calculation of a relaxed structure of Ga2SnTe2, from the Alexandria database.

abc: 8.4195 8.4195 3.9325
angles: 90.00 90.00 90.00
With the nearest neighbours (Å) after each atom.
Sites, in units of the cell vectors:
Ga 0.1338 0.3662 0.0000  6 Te 3.06-3.23, 1 Ga 3.19
Ga 0.3662 0.8662 0.0000  6 Te 3.06-3.23, 1 Ga 3.19
Ga 0.6338 0.1338 0.0000  6 Te 3.06-3.23, 1 Ga 3.19
Ga 0.8662 0.6338 0.0000  6 Te 3.06-3.23, 1 Ga 3.19
Sn 0.0000 0.0000 0.5000  4 Te 3.13
Sn 0.5000 0.5000 0.5000  4 Te 3.13
Te 0.1691 0.6691 0.5000  6 Ga 3.06-3.23, 2 Sn 3.13
Te 0.3309 0.1691 0.5000  6 Ga 3.06-3.23, 2 Sn 3.13
Te 0.6691 0.8309 0.5000  6 Ga 3.06-3.23, 2 Sn 3.13
Te 0.8309 0.3309 0.5000  6 Ga 3.06-3.23, 2 Sn 3.13

Summary:
**Excess energy over the best structure of this formula in the dataset**: 0 meV per atom
**SG**: P4/mbm, No. 127

=====

No. 4
The following is a PBE calculation of a relaxed structure of Ga2Sn2Te, from the Alexandria database.

abc: 7.0674 7.0674 7.0674
angles: 141.72 141.72 55.25
With the nearest neighbours (Å) after each atom.
Sites, in units of the cell vectors:
Ga 0.2500 0.7500 0.5000  4 Sn 2.88
Ga 0.7500 0.2500 0.5000  4 Sn 2.88
Sn 0.1131 0.1131 0.0000  1 Sn 2.83, 4 Ga 2.88
Sn 0.8869 0.8869 0.0000  1 Sn 2.83, 4 Ga 2.88
Te 0.5000 0.5000 0.0000  8 Sn 3.57, 8 Ga 3.90

Summary:
**Excess energy over the best structure of this formula in the dataset**: 85 meV per atom
**SG**: I4/mmm, No. 139

=====

No. 5
The following is a PBE calculation of a relaxed structure of GaSn3Te4, from the Alexandria database.

abc: 9.0164 9.7044 6.3931
angles: 90.00 90.00 90.00
With the nearest neighbours (Å) after each atom.
Sites, in units of the cell vectors:
Ga 0.0000 0.2183 0.0000  4 Te 2.73-2.75
Ga 0.5000 0.7817 0.5000  4 Te 2.73-2.75
Sn 0.0000 0.9081 0.4468  5 Te 3.04-3.39
Sn 0.1851 0.6535 0.9520  4 Te 3.04-3.26, 1 Sn 3.34
Sn 0.3149 0.3465 0.4520  4 Te 3.04-3.26, 1 Sn 3.34
Sn 0.5000 0.0919 0.9468  5 Te 3.04-3.39
Sn 0.6851 0.3465 0.4520  4 Te 3.04-3.26, 1 Sn 3.34
Sn 0.8149 0.6535 0.9520  4 Te 3.04-3.26, 1 Sn 3.34
Te 0.0000 0.2341 0.4281  1 Ga 2.74, 2 Sn 3.05
Te 0.0000 0.9419 0.9196  1 Ga 2.73, 1 Sn 3.04
Te 0.2290 0.6621 0.4228  1 Ga 2.75, 1 Sn 3.04
Te 0.2710 0.3379 0.9228  1 Ga 2.75, 1 Sn 3.04
Te 0.5000 0.0581 0.4196  1 Ga 2.73, 1 Sn 3.04
Te 0.5000 0.7659 0.9281  1 Ga 2.74, 2 Sn 3.05
Te 0.7290 0.3379 0.9228  1 Ga 2.75, 1 Sn 3.04
Te 0.7710 0.6621 0.4228  1 Ga 2.75, 1 Sn 3.04

Summary:
**Total DFT energy (no corrections)**: -3.6311 eV/atom
**SG**: Pmn2_1, No. 31

=====

No. 6
The following is a PBE calculation of a relaxed structure of GaSnTe2, from the Alexandria database.

abc: 11.8294 11.8294 11.8294
angles: 16.09 16.09 16.09
With the nearest neighbours (Å) after each atom.
Sites, in units of the cell vectors:
Ga 0.0000 0.0000 0.0000  2 Te 2.94
Sn 0.5000 0.5000 0.5000  6 Sn 3.31, 6 Te 3.47
Te 0.0838 0.0838 0.0838  1 Ga 2.94
Te 0.9162 0.9162 0.9162  1 Ga 2.94

Summary:
**Total DFT energy (no corrections)**: -3.1370 eV/atom
**SG**: R-3m, No. 166

=====

No. 7
The following is a PBE calculation of a relaxed structure of GaSn2Te, from the Alexandria database.

abc: 7.9257 7.9257 7.9257
angles: 30.15 30.15 30.15
With the nearest neighbours (Å) after each atom.
Sites, in units of the cell vectors:
Ga 0.0000 0.0000 0.0000  6 Sn 2.90
Sn 0.4066 0.4066 0.4066  3 Ga 2.90, 3 Te 3.23
Sn 0.5938 0.5938 0.5938  3 Ga 2.90, 3 Te 3.15
Te 0.1697 0.1697 0.1697  6 Sn 3.15-3.23

Summary:
**Excess energy over the best structure of this formula in the dataset**: 28 meV per atom
**SG**: R3m, No. 160

=====

No. 8
The following is a PBE calculation of a relaxed structure of GaSn2Te, from the Alexandria database.

abc: 7.6916 7.6916 7.6916
angles: 31.49 31.49 31.49
With the nearest neighbours (Å) after each atom.
Sites, in units of the cell vectors:
Ga 0.0000 0.0000 0.0000  6 Sn 2.90
Sn 0.2601 0.2601 0.2601  3 Ga 2.90, 3 Te 3.16
Sn 0.7399 0.7399 0.7399  3 Ga 2.90, 3 Te 3.16
Te 0.5000 0.5000 0.5000  6 Sn 3.16

Summary:
**Excess energy over the best structure of this formula in the dataset**: 0 meV per atom
**SG**: R-3m, No. 166

=====

no.,spin magnetization (μB/atom)
1,0.000
2,0.000
3,0.000
4,0.000
5,0.000
6,0.000
7,0.000
8,0.000